# 1
Here is an optimized crystal structure of InP2Os from Alexandria. Energies are from GGA-PBE.

The calculation puts the total energy at -49.53 eV/cell.

It has space group C2/m (No. 12), with a = 6.900 Å, b = 2.982 Å, c = 8.260 Å, α = 90.00°, β = 109.63° and γ = 90.00°. The asymmetric unit holds In at (0.000, 0.000, 0.000), P at (0.138, 0.000, 0.341) and Os at (0.000, 0.500, 0.500).

=====

# 2
Here is an optimized crystal structure of InP3Os from Alexandria. Energies are from GGA-PBE.

The distance to the lowest polymorph of the same formula comes out at 0 meV per atom.

It has space group Pm-3m (No. 221), with a = 4.676 Å, b = 4.676 Å, c = 4.676 Å, α = 90.00°, β = 90.00° and γ = 90.00°. The asymmetric unit holds In at (0.000, 0.000, 0.000), P at (0.000, 0.500, 0.500) and Os at (0.500, 0.500, 0.500).

=====

# 3
Here is an optimized crystal structure of InPOs3 from Alexandria. Energies are from GGA-PBE.

The distance to the lowest polymorph of the same formula comes out at 2445 meV per atom.

It has space group Pm-3m (No. 221), with a = 4.823 Å, b = 4.823 Å, c = 4.823 Å, α = 90.00°, β = 90.00° and γ = 90.00°. The asymmetric unit holds In at (0.000, 0.000, 0.000), P at (0.500, 0.500, 0.500) and Os at (0.000, 0.000, 0.500).

=====

# 4
Here is an optimized crystal structure of InP2Os from Alexandria. Energies are from GGA-PBE.

The calculation puts the total energy at -21.67 eV/cell.

It has space group Pmmm (No. 47), with a = 3.229 Å, b = 4.448 Å, c = 4.534 Å, α = 90.00°, β = 90.00° and γ = 90.00°. The asymmetric unit holds In at (0.000, 0.000, 0.000), P at (0.000, 0.500, 0.500), P at (0.500, 0.000, 0.500) and Os at (0.500, 0.500, 0.000).

=====

# 5
Here is an optimized crystal structure of In2POs2 from Alexandria. Energies are from GGA-PBE.

The calculation puts the total energy at -59.23 eV/cell.

It has space group I4/mmm (No. 139), with a = 3.568 Å, b = 3.568 Å, c = 15.597 Å, α = 90.00°, β = 90.00° and γ = 90.00°. The asymmetric unit holds In at (0.000, 0.000, 0.099), P at (0.000, 0.000, 0.500) and Os at (0.000, 0.500, 0.250).

=====

# 6
Here is an optimized crystal structure of InP4Os2 from Alexandria. Energies are from GGA-PBE.

The calculation puts the total energy at -79.18 eV/cell.

It has space group I4/mmm (No. 139), with a = 4.854 Å, b = 4.854 Å, c = 12.537 Å, α = 90.00°, β = 90.00° and γ = 90.00°. The asymmetric unit holds In at (0.000, 0.000, 0.000), P at (0.000, 0.000, 0.230), P at (0.000, 0.500, 0.000) and Os at (0.000, 0.000, 0.399).

=====

# 7
Here is an optimized crystal structure of InPOs2 from Alexandria. Energies are from GGA-PBE.

The distance to the lowest polymorph of the same formula comes out at 412 meV per atom.

It has space group Fm-3m (No. 225), with a = 6.228 Å, b = 6.228 Å, c = 6.228 Å, α = 90.00°, β = 90.00° and γ = 90.00°. The asymmetric unit holds In at (0.000, 0.000, 0.000), P at (0.000, 0.000, 0.500) and Os at (0.250, 0.250, 0.250).

=====

# 8
Here is an optimized crystal structure of InP2Os from Alexandria. Energies are from GGA-PBE.

The calculation puts the total energy at -46.26 eV/cell.

It has space group Cmmm (No. 65), with a = 2.913 Å, b = 5.117 Å, c = 9.567 Å, α = 90.00°, β = 90.00° and γ = 90.00°. The asymmetric unit holds In at (0.000, 0.000, 0.000), P at (0.000, 0.500, 0.299) and Os at (0.000, 0.000, 0.500).

=====

# 9
Here is an optimized crystal structure of InP4Os from Alexandria. Energies are from GGA-PBE.

The calculation puts the total energy at -118.19 eV/cell.

It has space group F-43m (No. 216), with a = 7.225 Å, b = 7.225 Å, c = 7.225 Å, α = 90.00°, β = 90.00° and γ = 90.00°. The asymmetric unit holds In at (0.000, 0.000, 0.000), P at (0.127, 0.127, 0.373) and Os at (0.250, 0.250, 0.750).

=====

# 10
Here is an optimized crystal structure of InP2Os from Alexandria. Energies are from GGA-PBE.

The calculation puts the total energy at -24.26 eV/cell.

It has space group Pm (No. 6), with a = 3.946 Å, b = 3.200 Å, c = 6.106 Å, α = 90.00°, β = 108.35° and γ = 90.00°. The asymmetric unit holds In at (0.000, 0.000, 0.000), P at (0.071, 0.000, 0.456), P at (0.725, 0.500, 0.506) and Os at (0.381, 0.500, 0.749).

=====

# 11
Here is an optimized crystal structure of InPOs2 from Alexandria. Energies are from GGA-PBE.

The distance to the lowest polymorph of the same formula comes out at 416 meV per atom.

It has space group P4/mmm (No. 123), with a = 4.387 Å, b = 4.387 Å, c = 3.142 Å, α = 90.00°, β = 90.00° and γ = 90.00°. The asymmetric unit holds In at (0.000, 0.000, 0.000), P at (0.500, 0.500, 0.000) and Os at (0.000, 0.500, 0.500).

=====

# 12
Here is an optimized crystal structure of InPOs3 from Alexandria. Energies are from GGA-PBE.

The distance to the lowest polymorph of the same formula comes out at 0 meV per atom.

It has space group Pm-3m (No. 221), with a = 4.394 Å, b = 4.394 Å, c = 4.394 Å, α = 90.00°, β = 90.00° and γ = 90.00°. The asymmetric unit holds In at (0.000, 0.000, 0.000), P at (0.500, 0.500, 0.500) and Os at (0.000, 0.500, 0.500).

=====

# 13
Here is an optimized crystal structure of InPOs2 from Alexandria. Energies are from GGA-PBE.

The distance to the lowest polymorph of the same formula comes out at 645 meV per atom.

It has space group C2/m (No. 12), with a = 5.884 Å, b = 8.496 Å, c = 2.963 Å, α = 90.00°, β = 119.98° and γ = 90.00°. The asymmetric unit holds In at (0.000, 0.000, 0.000), P at (0.000, 0.500, 0.000) and Os at (0.250, 0.250, 0.500).

=====

# 14
Here is an optimized crystal structure of InP2Os from Alexandria. Energies are from GGA-PBE.

The calculation puts the total energy at -46.97 eV/cell.

It has space group Immm (No. 71), with a = 2.938 Å, b = 4.757 Å, c = 10.514 Å, α = 90.00°, β = 90.00° and γ = 90.00°. The asymmetric unit holds In at (0.000, 0.000, 0.000), P at (0.000, 0.500, 0.184) and Os at (0.000, 0.000, 0.500).

=====

# 15
Here is an optimized crystal structure of InPOs2Pt from Alexandria. Energies are from GGA-PBE.

The calculation puts the total energy at -31.83 eV/cell.

It has space group P4/mmm (No. 123), with a = 4.325 Å, b = 4.325 Å, c = 4.874 Å, α = 90.00°, β = 90.00° and γ = 90.00°. The asymmetric unit holds In at (0.000, 0.000, 0.000), P at (0.000, 0.000, 0.500), Os at (0.000, 0.500, 0.500) and Pt at (0.500, 0.500, 0.000).

=====

# 16
Here is an optimized crystal structure of RbInPOs from Alexandria. Energies are from GGA-PBE.

The calculation puts the total energy at -42.44 eV/cell.

It has space group P4/nmm (No. 129, origin choice 2), with a = 4.090 Å, b = 4.090 Å, c = 13.535 Å, α = 90.00°, β = 90.00° and γ = 90.00°. The asymmetric unit holds Rb at (0.250, 0.250, 0.234), In at (0.250, 0.750, 0.500), P at (0.250, 0.250, 0.913) and Os at (0.250, 0.750, 0.000).

=====

# 17
Here is an optimized crystal structure of InReP2Os from Alexandria. Energies are from GGA-PBE.

The calculation puts the total energy at -30.46 eV/cell.

It has space group P4/mmm (No. 123), with a = 4.483 Å, b = 4.483 Å, c = 5.402 Å, α = 90.00°, β = 90.00° and γ = 90.00°. The asymmetric unit holds In at (0.000, 0.000, 0.000), Re at (0.000, 0.000, 0.500), P at (0.000, 0.500, 0.500) and Os at (0.500, 0.500, 0.000).

=====

# 18
Here is an optimized crystal structure of In2POsRu from Alexandria. Energies are from GGA-PBE.

The calculation puts the total energy at -25.68 eV/cell.

It has space group P4/mmm (No. 123), with a = 5.156 Å, b = 5.156 Å, c = 4.364 Å, α = 90.00°, β = 90.00° and γ = 90.00°. The asymmetric unit holds In at (0.000, 0.500, 0.000), P at (0.000, 0.000, 0.500), Os at (0.500, 0.500, 0.500) and Ru at (0.000, 0.000, 0.000).

=====

# 19
Here is an optimized crystal structure of InP2OsS from Alexandria. Energies are from GGA-PBE.

The formation energy from raw total energies is 1.994 eV per atom. The distance to the lowest polymorph of the same formula comes out at 1562 meV per atom.

It has space group P4/mmm (No. 123), with a = 4.939 Å, b = 4.939 Å, c = 4.834 Å, α = 90.00°, β = 90.00° and γ = 90.00°. The asymmetric unit holds In at (0.000, 0.000, 0.000), P at (0.000, 0.500, 0.000), Os at (0.500, 0.500, 0.500) and S at (0.000, 0.000, 0.500).

=====

# 20
Here is an optimized crystal structure of InP2OsS from Alexandria. Energies are from GGA-PBE.

The formation energy from raw total energies is 0.431 eV per atom. The distance to the lowest polymorph of the same formula comes out at 0 meV per atom.

It has space group P4/mmm (No. 123), with a = 4.512 Å, b = 4.512 Å, c = 5.604 Å, α = 90.00°, β = 90.00° and γ = 90.00°. The asymmetric unit holds In at (0.000, 0.000, 0.000), P at (0.000, 0.500, 0.500), Os at (0.500, 0.500, 0.500) and S at (0.500, 0.500, 0.000).